*a*
15
Lattice="-7.609 0.894 -1.779 4.958 -3.721 -4.800 2.358 -4.652 5.854" Properties=species:S:1:pos:R:3 comment="Pu3Ag4S8 PBE-GGA relaxed" volume_a3_per_fu=325.0 sg="No. 12" pbc="T T T"
Ag 2.479 -1.861 -2.400
Pu -1.325 -1.414 -3.289
S -0.789 -3.970 2.271
S 4.298 -3.958 -2.093
S 1.731 -1.985 0.249
S -1.973 -1.788 -0.638
Pu -2.625 -1.879 2.037
Ag -3.804 0.447 -0.889
Pu -0.146 -3.740 -0.362
S 3.019 -4.416 3.147
Ag 1.179 -2.326 2.927
S -2.023 -5.494 -0.974
Ag 0.000 0.000 0.000
S 1.681 -5.691 -0.087
S 0.497 -3.510 -2.996

*b*
15
Lattice="2.889 -7.066 2.145 0.546 -5.845 -5.332 7.182 -2.311 -2.629" Properties=species:S:1:pos:R:3 comment="Pu3Ag4S8 PBE-GGA relaxed" volume_a3_per_fu=356.6 sg="No. 166" pbc="T T T"
Pu 3.864 -4.078 -3.980
S 4.222 -7.267 -0.311
S 2.996 -6.628 -4.223
S 4.507 -10.325 -3.100
S 6.109 -4.897 -2.715
Pu 5.035 -4.689 -0.242
Ag 5.308 -7.611 -2.908
Ag 7.827 -6.780 -3.561
Ag 2.789 -8.443 -2.254
S 7.620 -8.595 -1.593
S 7.736 -11.491 -4.303
Pu 3.591 -1.156 -1.314
Ag 0.000 0.000 0.000
S 6.394 -7.955 -5.505
S 2.880 -3.731 -1.512

Short version: *b*, *a*, most stable first.

*a*
28
Lattice="-0.377 4.494 -6.592 -6.599 -3.529 2.810 2.047 11.374 7.637" Properties=species:S:1:pos:R:3 comment="Pu2AgS4 PBE-GGA relaxed" volume_a3_per_fu=180.4 sg="No. 12" pbc="T T T"
S -0.884 4.073 2.640
Pu -0.188 2.247 -3.296
S 0.175 9.625 6.721
S -4.471 4.556 0.942
Pu 0.835 7.934 0.522
Pu 0.000 0.000 0.000
Ag -3.956 2.452 -0.522
Pu -3.300 -1.765 1.405
S -4.045 8.266 1.214
Pu -2.465 6.169 1.927
Ag -2.739 5.892 6.593
S -4.398 2.202 4.172
Pu -6.184 0.423 3.061
Pu 1.255 11.916 0.793
Ag -0.973 9.887 4.376
S -3.871 6.193 4.256
S -0.531 10.137 -0.317
S -0.458 7.783 2.912
S -3.235 8.014 8.067
S -1.058 6.146 -0.402
S -5.104 2.714 -2.867
S -1.363 2.201 -0.841
S -0.027 12.030 3.194
S -4.902 0.309 0.661
Ag -2.190 6.446 -2.739
S -1.695 4.325 -4.213
Pu 1.023 5.687 3.818
S -3.566 10.137 4.695

*b*
14
Lattice="-3.091 2.149 -1.653 1.098 -3.140 -6.137 -6.803 -7.694 2.720" Properties=species:S:1:pos:R:3 comment="Pu2AgS4 PBE-GGA relaxed" volume_a3_per_fu=152.5 sg="No. 55" pbc="T T T"
Pu -5.768 -5.379 -1.321
S -0.922 -4.930 -4.687
Pu -3.029 -3.305 -3.748
S -7.707 -6.896 0.333
Pu -2.659 -0.696 -1.047
S -4.625 -7.915 -1.642
S -4.259 -3.182 -1.286
S -4.537 -5.502 -3.784
Pu -6.138 -7.988 -4.023
S -1.080 -2.918 -1.775
Ag 0.549 -1.570 -3.068
Ag -3.401 -3.847 1.360
S -4.783 -5.903 1.270
S -1.089 -1.788 -5.403

Short version: *a*, *b*, most stable first.

*a*
4
Lattice="5.266 0.000 0.000 2.633 4.560 0.000 2.633 1.520 4.299" Properties=species:S:1:pos:R:3 comment="Pu2AgSb PBE-GGA relaxed" volume_a3_per_fu=103.2 sg="No. 225" pbc="T T T"
Ag 5.266 3.040 2.150
Sb 0.000 0.000 0.000
Pu 7.899 4.560 3.225
Pu 2.633 1.520 1.075

*b*
4
Lattice="-0.757 -3.203 -0.807 2.478 -2.277 -0.402 0.007 -4.212 9.596" Properties=species:S:1:pos:R:3 comment="Pu2AgSb PBE-GGA relaxed" volume_a3_per_fu=102.4 sg="No. 166" pbc="T T T"
Sb 0.864 -4.846 4.193
Ag 0.000 0.000 0.000
Pu 1.295 -7.274 6.311
Pu 0.433 -2.418 2.075

*c*
4
Lattice="4.403 0.000 0.000 0.000 4.761 0.000 0.000 0.000 4.761" Properties=species:S:1:pos:R:3 comment="Pu2AgSb PBE-GGA relaxed" volume_a3_per_fu=99.8 sg="No. 123" pbc="T T T"
Pu 0.000 2.380 0.000
Pu 0.000 0.000 2.380
Sb 2.202 2.380 2.380
Ag 2.202 0.000 0.000

Short version: *c*, *a*, *b*, most stable first.

*a*
4
Lattice="5.055 0.000 0.000 2.527 4.378 0.000 2.527 1.459 4.127" Properties=species:S:1:pos:R:3 comment="PuScAg2 PBE-GGA relaxed" volume_a3_per_fu=91.3 sg="No. 225" pbc="T T T"
Ag 2.527 1.459 1.032
Pu 0.000 0.000 0.000
Ag 7.582 4.378 3.095
Sc 5.055 2.918 2.064

*b*
4
Lattice="-3.022 1.366 0.273 -1.253 -2.382 -1.957 -1.447 -4.475 6.373" Properties=species:S:1:pos:R:3 comment="PuScAg2 PBE-GGA relaxed" volume_a3_per_fu=87.7 sg="No. 123" pbc="T T T"
Sc -2.138 -0.508 -0.842
Ag -0.315 -0.973 1.386
Pu -2.861 -2.746 2.345
Ag -1.132 -3.502 4.987

*c*
4
Lattice="-1.527 -2.627 -0.834 4.604 -2.663 -0.045 -0.667 -1.240 5.129" Properties=species:S:1:pos:R:3 comment="PuScAg2 PBE-GGA relaxed" volume_a3_per_fu=89.1 sg="No. 123" pbc="T T T"
Ag -0.334 -0.620 2.565
Ag 2.302 -1.331 -0.022
Sc 1.205 -3.265 2.125
Pu -0.764 -1.313 -0.417

Short version: *b*, *c*, *a*, most stable first.

*a*
8
Lattice="5.187 0.005 -2.299 -1.024 5.085 -2.299 -0.029 -0.035 6.937" Properties=species:S:1:pos:R:3 comment="PuAg3Se4 PBE-GGA relaxed" volume_a3_per_fu=182.2 sg="No. 139" pbc="T T T"
Pu 0.000 0.000 0.000
Se 3.105 3.796 0.011
Se 1.030 1.259 2.327
Se 1.542 5.053 3.488
Ag 3.620 1.257 1.169
Ag 2.082 2.545 -2.299
Ag 0.515 3.798 1.169
Se 4.647 2.513 3.487

*b*
8
Lattice="-0.320 -4.368 -3.595 2.378 -3.371 3.884 -5.133 -1.289 2.024" Properties=species:S:1:pos:R:3 comment="PuAg3Se4 PBE-GGA relaxed" volume_a3_per_fu=181.9 sg="No. 221" pbc="T T T"
Se -2.566 -0.645 1.012
Se 1.189 -1.685 1.942
Ag 1.029 -3.869 0.145
Pu 0.000 0.000 0.000
Ag -2.726 -2.829 -0.785
Ag -1.377 -2.330 2.954
Se -1.537 -4.514 1.157
Se -0.160 -2.184 -1.797

Short version: *a*, *b*, most stable first.